Arrangement one

First-principles (PBEsol) data for crystalline BiTe2N2 at its relaxed geometry, as listed in Alexandria.

```
5
Lattice="4.247 0.000 0.000 0.000 4.247 0.000 0.000 0.000 5.687" Properties=species:S:1:pos:R:3 pbc="T T T"
Te 0.000 0.000 0.000
Bi 2.123 2.123 2.843
Te 0.000 0.000 2.843
N 0.000 2.123 0.000
N 2.123 0.000 0.000
```

Arrangement two

First-principles (PBEsol) data for crystalline BiTe2N2 at its relaxed geometry, as listed in Alexandria.

```
5
Lattice="4.277 0.000 0.000 0.000 5.962 0.000 0.000 0.000 5.962" Properties=species:S:1:pos:R:3 pbc="T T T"
N 2.138 0.000 0.000
Te 0.000 0.000 2.981
N 2.138 2.981 2.981
Bi 0.000 0.000 0.000
Te 0.000 2.981 0.000
```

Stability verdict: arrangement one, ahead by 867 meV/atom

Arrangement one

First-principles (PBEsol) data for crystalline Na3Bi at its relaxed geometry, as listed in Alexandria.

```
4
Lattice="5.380 0.000 0.000 2.690 4.659 0.000 2.690 1.553 4.393" Properties=species:S:1:pos:R:3 pbc="T T T"
Bi 0.000 0.000 0.000
Na 5.380 3.106 2.196
Na 8.070 4.659 3.295
Na 2.690 1.553 1.098
```

Arrangement two

First-principles (PBEsol) data for crystalline Na3Bi at its relaxed geometry, as listed in Alexandria.

```
8
Lattice="-3.753 2.618 2.905 -1.510 -3.467 -3.884 -0.037 -7.190 6.432" Properties=species:S:1:pos:R:3 pbc="T T T"
Bi -3.033 -4.803 5.466
Bi -2.267 -3.236 -0.013
Na -2.292 -8.035 4.280
Na -0.009 -1.798 1.608
Na -0.028 -5.393 4.824
Na -3.009 -0.004 1.173
Na -2.279 -5.627 2.126
Na -3.021 -2.411 3.327
```

Stability verdict: arrangement two, ahead by 7 meV/atom

Arrangement one

First-principles (PBEsol) data for crystalline Na3BiO3 at its relaxed geometry, as listed in Alexandria.

```
56
Lattice="10.027 -0.578 0.508 -0.421 9.929 0.201 4.659 3.317 10.249" Properties=species:S:1:pos:R:3 pbc="T T T"
O 0.464 3.845 1.290
Na 8.167 10.503 5.650
Bi 8.715 7.864 3.645
O 3.236 8.496 4.540
O 8.230 2.631 4.451
O 10.707 6.846 8.089
Bi 2.656 7.717 2.681
O 11.029 4.172 6.418
O 3.270 2.665 0.989
Na 2.885 4.422 4.652
Na 8.885 3.464 7.220
Na 2.617 4.860 0.947
Bi 11.610 4.951 8.277
Na 5.715 6.597 1.929
Bi 6.683 10.470 8.442
Bi 1.446 2.061 1.764
Na 8.550 6.071 9.029
O 3.559 5.822 2.869
Na 6.995 7.742 6.563
O 8.598 11.143 7.803
O 5.668 1.525 3.155
Na 5.164 7.593 9.240
O 9.419 5.929 3.809
O 7.334 8.541 8.920
O 6.723 7.351 4.003
O 1.913 2.545 3.733
O 10.996 10.003 9.969
Na 9.566 9.057 8.300
O 9.176 8.417 5.604
Na 9.574 6.088 6.118
O 13.802 8.824 9.668
Na 7.271 4.927 4.396
O 4.277 8.551 1.731
Na 4.692 6.581 4.840
O 5.090 4.252 5.354
Na 11.381 8.246 6.306
Na 9.102 5.076 1.718
Na 9.566 11.789 9.832
Na 4.030 8.893 6.804
O 12.353 10.123 7.225
O 4.847 6.739 7.149
Bi 7.583 2.199 2.516
O 6.932 4.127 2.038
Na 10.236 3.775 4.154
Na 6.099 2.166 5.309
Na 4.700 3.612 2.658
Na 11.649 7.808 10.011
O 6.036 10.038 6.507
Na 4.700 0.879 1.126
O 9.989 4.117 9.227
Bi 5.551 4.805 7.314
Na 5.381 9.204 3.738
Na 11.151 1.725 6.401
Bi 12.820 10.607 9.194
O 7.543 5.317 6.955
Na 3.115 10.944 4.557
```

Arrangement two

First-principles (PBEsol) data for crystalline Na3BiO3 at its relaxed geometry, as listed in Alexandria.

```
28
Lattice="8.342 0.000 0.000 -2.781 7.865 0.000 -2.781 -3.932 6.811" Properties=species:S:1:pos:R:3 pbc="T T T"
Na 0.860 4.129 0.000
Na -2.233 0.123 3.576
Na 0.548 4.055 3.236
O -0.799 -1.130 5.076
Na 3.328 -0.897 4.917
O -3.580 1.029 5.252
Na 0.548 0.775 5.130
O 4.944 0.900 1.559
O -3.580 4.034 3.517
Na 3.606 -1.094 1.894
O 2.163 6.065 0.000
Na 0.860 -2.064 3.576
O -0.564 1.902 3.294
Na 3.328 4.707 1.681
Na -2.233 3.035 1.894
Bi 5.990 0.000 0.000
O 2.163 -3.032 5.252
Na 3.606 2.187 0.000
Bi 0.784 1.109 1.920
O -0.799 4.961 1.559
O 4.997 4.061 0.000
Bi -1.997 5.647 0.000
Bi -1.997 -2.824 4.891
O 1.981 2.802 1.735
O 1.981 0.102 3.294
Na 3.641 1.868 3.236
O 4.997 -2.030 3.517
Na -1.955 2.839 4.917
```

Stability verdict: arrangement two, ahead by 33 meV/atom